This record from Alexandria describes a PBEsol-optimized structure of TbAgSn. The functional is SCAN.

abc: 4.6582 4.6582 7.2882
angles: 90.00 90.00 120.00
Element x y z (fractional)
Tb1 0.0000 0.0000 0.0000
Tb2 0.0000 0.0000 0.5000
Ag1 0.3333 0.6667 0.2011
Ag2 0.3333 0.6667 0.7989
Sn1 0.6667 0.3333 0.2729
Sn2 0.6667 0.3333 0.7271

## Properties
E_form   -187 kJ/mol of formula units
SG   No. 187
Crystal system   hexagonal

This record from Alexandria describes a PBEsol-optimized structure of Ca2Ni2Cl. The functional is SCAN.

abc: 5.1265 5.1265 5.1265
angles: 116.39 116.39 96.37
Element x y z (fractional)
Ca1 0.2500 0.7500 0.5000
Ca2 0.7500 0.2500 0.5000
Ni1 0.1624 0.1624 0.0000
Ni2 0.8376 0.8376 0.0000
Cl1 0.5000 0.5000 0.0000

## Properties
Energy   -60.69 eV/cell
SG   No. 139
Crystal system   tetragonal

This record from Alexandria describes a PBEsol-optimized structure of CrFeRu. The functional is SCAN.

abc: 3.9482 3.9482 2.5588
angles: 90.00 90.00 120.00
Element x y z (fractional)
Cr1 0.0000 0.0000 0.0000
Fe1 0.3333 0.6667 0.0000
Ru1 0.6667 0.3333 0.5000

## Properties
E_form   47 kJ/mol of formula units
SG   No. 187
Energy above the lowest structure with this stoichiometry   0.0 kJ/mol of formula units
Crystal system   hexagonal

This record from Alexandria describes a PBEsol-optimized structure of TlSn2SbBr. The functional is SCAN.

abc: 5.6412 5.6412 5.3146
angles: 90.00 90.00 90.00
Element x y z (fractional)
Tl1 0.0000 0.0000 0.0000
Sn1 0.0000 0.5000 0.0000
Sn2 0.5000 0.0000 0.0000
Sb1 0.5000 0.5000 0.5000
Br1 0.0000 0.0000 0.5000

## Properties
Energy   -198.00 eV/cell
SG   No. 123
Crystal system   tetragonal

This record from Alexandria describes a PBEsol-optimized structure of LaIn2Au. The functional is SCAN.

abc: 4.4053 6.3967 6.3967
angles: 34.23 90.00 90.00
Element x y z (fractional)
La1 0.0000 0.0000 0.0000
In1 0.0000 0.7343 0.7343
In2 0.5000 0.3252 0.3252
Au1 0.5000 0.5877 0.5877

## Properties
E_form   -230 kJ/mol of formula units
SG   No. 38
Crystal system   orthorhombic

This record from Alexandria describes a PBEsol-optimized structure of In2PtRh. The functional is SCAN.

abc: 3.1994 3.4749 6.0245
angles: 90.00 90.00 90.00
Element x y z (fractional)
In1 0.0000 0.0000 0.2454
In2 0.0000 0.0000 0.7546
Pt1 0.5000 0.5000 0.5000
Rh1 0.5000 0.5000 0.0000

## Properties
E_form   -168 kJ/mol of formula units
SG   No. 47
Crystal system   orthorhombic